Record 1
## Zr2V (PBE)

Data for Zr2V after structural relaxation.

a b c (Å): 3.3403 3.3403 10.6522
angles (deg): 90.00 90.00 90.00
Space group I4/mmm (No. 139)
One atom of each set of equivalent atoms:
Zr: 0.0000 0.0000 0.1510 (multiplicity 4)
V: 0.0000 0.0000 0.5000 (multiplicity 2)

Computed properties:
DFT formation energy: 0.1498 eV per atom
E_tot: -8.5885 eV per atom
Calculated density: 6.52 g/cm3



Record 2
## ZrV3 (PBE)

Data for ZrV3 after structural relaxation.

a b c (Å): 3.2096 4.3912 4.4977
angles (deg): 90.00 90.00 90.00
Space group Pmm2 (No. 25)
One atom of each set of equivalent atoms:
Zr: 0.0000 0.0000 0.0000 (multiplicity 1)
V: 0.0000 0.5000 0.5116 (multiplicity 1)
V: 0.5000 0.0000 0.4888 (multiplicity 1)
V: 0.5000 0.5000 0.0557 (multiplicity 1)

Computed properties:
DFT formation energy: 0.2338 eV per atom
E_tot: -8.7422 eV per atom
Calculated density: 6.39 g/cm3



Record 3
## ZrV2 (PBE)

Data for ZrV2 after structural relaxation.

a b c (Å): 3.1712 3.1712 9.9614
angles (deg): 90.00 90.00 90.00
Space group I4/mmm (No. 139)
One atom of each set of equivalent atoms:
Zr: 0.0000 0.0000 0.0000 (multiplicity 2)
V: 0.0000 0.0000 0.3092 (multiplicity 4)

Computed properties:
DFT formation energy: 0.0979 eV per atom
E_tot: -8.8305 eV per atom
Calculated density: 6.40 g/cm3



Record 4
## ZrV (PBE)

Data for ZrV after structural relaxation.

a b c (Å): 5.4298 5.4298 5.4298
angles (deg): 90.00 90.00 90.00
Space group Fm-3m (No. 225)
One atom of each set of equivalent atoms:
Zr: 0.0000 0.0000 0.0000 (multiplicity 4)
V: 0.0000 0.0000 0.5000 (multiplicity 4)

Computed properties:
DFT formation energy: 0.9696 eV per atom
E_tot: -7.8637 eV per atom
Calculated density: 5.90 g/cm3